# AlTc2Ni

A relaxed AlTc2Ni crystal (GGA-PBE, the Alexandria database).

Cell lengths 2.7725, 3.6973, 5.3758 Å; angles 90.00, 90.00, 90.00 degrees
Closest atoms and distances in Å follow each position.
Space group Pmm2 (No. 25)
Inequivalent atoms, fractional coordinates:
1 Al 0.0000 0.0000 0.0000  4 Ni 2.57, 6 Tc 2.65-2.77, 2 Al 2.77
2 Tc 0.0000 0.0000 0.4927  6 Tc 2.60-2.77, 2 Al 2.65-2.73, 4 Ni 2.76
3 Tc 0.5000 0.5000 0.7153  6 Tc 2.60-2.77, 2 Ni 2.66-2.71, 4 Al 2.77
4 Ni 0.5000 0.5000 0.2104  4 Al 2.57, 6 Tc 2.66-2.76, 2 Ni 2.77

## Properties
ΔH_f (0 K)   -0.15 eV per atom
M_tot   0.0000 μB per atom

# AcMgInAg

A relaxed AcMgInAg crystal (GGA-PBE, the Alexandria database).

Cell lengths 8.5281, 4.9000, 5.9951 Å; angles 90.00, 118.02, 90.00 degrees
Closest atoms and distances in Å follow each position.
Space group Cm (No. 8)
Inequivalent atoms, fractional coordinates:
1 Ac 0.0000 0.0000 0.0000  4 Ag 3.35-3.44, 4 Mg 3.36-3.43, 2 In 3.75
2 Mg 0.2880 0.5000 0.3644  3 In 2.97, 3 Ag 3.16-3.19
3 In 0.0115 0.5000 0.5341  3 Ag 2.88-2.89, 3 Mg 2.97
4 Ag 0.2116 0.0000 0.6332  3 In 2.88-2.89, 3 Mg 3.16-3.19

## Properties
ΔH_f (0 K)   -0.22 eV per atom
M_tot   0.0000 μB per atom
Distance to the lowest polymorph of the same formula   0.062 eV/atom

# CaMn2Pt

A relaxed CaMn2Pt crystal (GGA-PBE, the Alexandria database).

Cell lengths 3.2453, 3.2453, 27.2716 Å; angles 90.00, 90.00, 120.00 degrees
Closest atoms and distances in Å follow each position.
Space group R-3m (No. 166, hexagonal axes)
Inequivalent atoms, fractional coordinates:
1 Ca 0.0000 0.0000 0.0000  6 Ca 3.25, 6 Mn 3.28
2 Mn 0.0000 0.0000 0.2348  3 Pt 2.64
3 Pt 0.0000 0.0000 0.5000  6 Mn 2.64

## Properties
ΔH_f (0 K)   0.41 eV per atom
M_tot   2.1716 μB per atom

# Tm3MgSc

A relaxed Tm3MgSc crystal (GGA-PBE, the Alexandria database).

Cell lengths 14.6266, 8.6230, 9.0333 Å; angles 90.00, 90.00, 90.00 degrees
Closest atoms and distances in Å follow each position.
Space group Cmcm (No. 63)
Inequivalent atoms, fractional coordinates:
1 Tm 0.1125 0.1570 0.0803  5 Tm 3.07-3.43, 2 Sc 3.30-3.33, 2 Mg 3.41-3.43
2 Tm 0.1781 0.5000 0.0000  4 Tm 3.19-3.43, 4 Sc 3.26-3.52, 2 Mg 3.45
3 Mg 0.0000 0.1426 0.7500  2 Sc 3.05, 1 Mg 3.23, 4 Tm 3.41
4 Mg 0.0000 0.4825 0.2500  1 Mg 3.23, 8 Tm 3.45-3.60
5 Sc 0.2067 0.1901 0.7500  1 Mg 3.05, 6 Tm 3.26-3.33

## Properties
ΔH_f (0 K)   0.19 eV per atom
M_tot   0.0000 μB per atom
Distance to the lowest polymorph of the same formula   0.190 eV/atom

Q: M_tot of number 2 (AcMgInAg)?
A: 0.0000 μB per atom